## A
PBEsol Os3Br, relaxed; total moment = 0.000 μB per atom; DOS(E_F) = 4.0 states/eV/cell
1.0
-2.043 2.043 3.573
2.043 -2.043 3.573
2.043 2.043 -3.573
Os Br
3 1
direct
0.000 0.000 0.000
0.250 0.750 0.500
0.750 0.250 0.500
0.500 0.500 0.000

## B
PBEsol Os3Br, relaxed; total moment = 0.000 μB per atom; DOS(E_F) = 4.3 states/eV/cell
1.0
-1.414 2.303 4.547
1.414 -2.303 4.547
1.414 2.303 -4.547
Os Br
3 1
direct
0.000 0.000 0.000
0.260 0.760 0.500
0.740 0.240 0.500
0.500 0.500 0.000

Of them, the most stable is B and the least stable is A.

## A
PBEsol Os3Br, relaxed; total moment = 0.398 μB per atom; DOS(E_F) = 5.9 states/eV/cell
1.0
4.504 0.000 0.000
0.000 4.504 0.000
0.000 0.000 4.504
Os Br
3 1
direct
0.000 0.000 0.500
0.000 0.500 0.000
0.500 0.000 0.000
0.000 0.000 0.000

## B
PBEsol Os3Br, relaxed; total moment = 0.000 μB per atom; DOS(E_F) = 3.3 states/eV/cell
1.0
1.404 0.811 8.765
-1.404 0.811 8.765
0.000 -1.621 8.765
Os Br
3 1
direct
0.000 0.000 0.000
0.253 0.253 0.253
0.747 0.747 0.747
0.500 0.500 0.500

Of them, the most stable is B and the least stable is A.

## A
PBEsol OsPbBr2, relaxed; total moment = 0.031 μB per atom; DOS(E_F) = 3.5 states/eV/cell
1.0
4.875 0.000 0.000
0.000 3.277 0.000
-2.257 0.000 5.310
Os Pb Br
1 1 2
direct
0.000 0.000 0.000
0.000 0.500 0.500
0.500 0.000 0.500
0.500 0.500 0.000

## B
PBEsol OsPbBr2, relaxed; total moment = 0.000 μB per atom; DOS(E_F) = 2.3 states/eV/cell
1.0
4.916 0.000 0.000
0.000 4.916 0.000
0.000 0.000 3.416
Os Pb Br
1 1 2
direct
0.000 0.000 0.000
0.500 0.500 0.000
0.000 0.500 0.500
0.500 0.000 0.500

Of them, the most stable is A and the least stable is B.

## A
PBEsol OsPtBr, relaxed; total moment = 0.001 μB per atom; DOS(E_F) = 3.3 states/eV/cell
1.0
0.000 3.030 3.030
3.030 0.000 3.030
3.030 3.030 0.000
Os Pt Br
1 1 1
direct
0.000 0.000 0.000
0.250 0.250 0.250
0.750 0.750 0.750

## B
PBEsol OsPtBr, relaxed; total moment = 0.000 μB per atom; DOS(E_F) = 3.4 states/eV/cell
1.0
2.944 0.000 0.000
-1.472 2.550 0.000
0.000 0.000 6.519
Os Pt Br
1 1 1
direct
0.000 0.000 0.000
0.333 0.667 0.689
0.667 0.333 0.308

Of them, the most stable is B and the least stable is A.